# 1
The following is a PBE calculation of AgMo2P after structural relaxation, from Alexandria.

- DOS at the Fermi energy (states/eV per cell) = 2.96
- volume (Å³ per atom) = 16.442
- space group = No. 35
- crystal system = orthorhombic
- E (eV for the cell shown) = -28.86
- energy of formation from the pure elements (meV/atom) = 267

Geometry as POSCAR:
```
AgMo2P
1.0
1.617 -2.250 0.000
1.617 2.250 0.000
0.000 0.000 9.037
Mo P Ag
2 1 1
Cartesian
0.000 0.000 8.864
1.617 0.000 6.684
0.000 0.000 4.814
1.617 0.000 2.230
```


# 2
The following is a PBE calculation of Cd2CuTeMo after structural relaxation, from Alexandria.

- DOS at the Fermi energy (states/eV per cell) = 2.25
- volume (Å³ per atom) = 23.568
- space group = No. 123
- uncorrected formation energy (eV/atom) = 0.704
- crystal system = tetragonal
- E (eV for the cell shown) = -16.38

Geometry as POSCAR:
```
Cd2CuTeMo
1.0
-3.161 -0.949 -3.636
3.740 -0.804 -3.042
-0.007 -4.749 1.246
Cu Mo Te Cd
1 1 1 2
Cartesian
0.000 0.000 0.000
1.870 -0.402 -1.521
0.286 -3.251 -2.716
-0.004 -2.375 0.623
-1.580 -0.474 -1.818
```


# 3
The following is a PBE calculation of Fe2PW after structural relaxation, from Alexandria.

- DOS at the Fermi energy (states/eV per cell) = 4.37
- volume (Å³ per atom) = 12.752
- space group = No. 160
- crystal system = trigonal
- E (eV for the cell shown) = -34.52
- energy of formation from the pure elements (meV/atom) = 192

Geometry as POSCAR:
```
Fe2PW
1.0
-5.896 -0.610 -5.289
-3.733 -0.591 -6.988
-4.541 -2.944 -5.816
P W Fe
1 1 2
Cartesian
-7.198 -2.105 -9.190
-10.656 -3.117 -13.605
-14.093 -4.122 -17.994
-3.479 -1.018 -4.442
```


# 4
The following is a PBE calculation of Pm3Bi2O after structural relaxation, from Alexandria.

- DOS at the Fermi energy (states/eV per cell) = 5.70
- volume (Å³ per atom) = 29.896
- space group = No. 15
- uncorrected formation energy (eV/atom) = -1.393
- crystal system = monoclinic
- E (eV for the cell shown) = -70.65

Geometry as POSCAR:
```
Pm3Bi2O
1.0
-2.048 -3.611 5.040
-3.555 -5.278 -5.225
7.013 -1.232 -2.263
Pm Bi O
6 4 2
Cartesian
-0.880 -4.887 -3.052
-3.948 -6.219 -0.764
0.123 -8.561 -1.047
-1.655 -2.670 0.579
2.291 -5.234 0.604
1.288 -1.560 -1.401
2.376 -4.382 -2.638
0.374 -7.417 -4.697
1.037 -2.704 2.249
-0.966 -5.739 0.190
-0.955 -1.436 -1.143
-4.648 -7.453 0.958
```


Which formula does entry 3 have? Fe2PW